The following is a PBE-GGA calculation of a relaxed Sr4CoP crystal, from the Alexandria database.

abc: 6.6844 6.6844 6.6844
angles: 60.00 60.00 60.00
Fractional positions:
Sr 0.1253 0.1253 0.1253
Sr 0.1253 0.1253 0.6242
Sr 0.1253 0.6242 0.1253
Sr 0.6242 0.1253 0.1253
Co 0.7500 0.7500 0.7500
P 0.5000 0.5000 0.5000

Results
- DFT formation energy (eV per atom) = 0.928
- space-group type = No. 216